Version one
Density functional theory data (GGA-PBEsol) for crystalline LiSbAu at its relaxed geometry.

abc: 4.4427 4.4427 4.4427
angles: 60.00 60.00 60.00
With the nearest neighbours (Å) after each atom.
Atoms (fractional coordinates):
Sb  0.5000  0.5000  0.5000  4 Au 2.72
Au  0.7500  0.7500  0.7500  4 Sb 2.72, 4 Li 2.72
Li  0.0000  0.0000  0.0000  4 Au 2.72

Properties
Size of the total moment ... 0.000 Bohr magnetons per cell

Version two
Density functional theory data (GGA-PBEsol) for crystalline LiSbAu at its relaxed geometry.

abc: 3.2434 4.6303 4.6303
angles: 120.00 90.00 90.00
With the nearest neighbours (Å) after each atom.
Atoms (fractional coordinates):
Sb  0.1673  0.3333  0.6667  3 Au 2.67
Au  0.1661  0.0000  0.0000  3 Sb 2.67
Li  0.6667  0.6667  0.3333  6 Sb 3.13, 6 Au 3.13, 2 Li 3.24

Properties
Size of the total moment ... 0.000 Bohr magnetons per cell

The calculated energies rank the structures as follows, beginning with the most stable: version one, version two.

Version one
Density functional theory data (GGA-PBEsol) for crystalline LiSc2Au at its relaxed geometry.

abc: 3.4708 4.6472 4.6472
angles: 90.00 90.00 90.00
With the nearest neighbours (Å) after each atom.
Atoms (fractional coordinates):
Sc  0.0000  0.0000  0.5000  4 Li 2.90, 4 Au 2.90
Sc  0.0000  0.5000  0.0000  4 Li 2.90, 4 Au 2.90
Au  0.5000  0.5000  0.5000  8 Sc 2.90
Li  0.5000  0.0000  0.0000  8 Sc 2.90

Properties
Size of the total moment ... 0.004 Bohr magnetons per cell

Version two
Density functional theory data (GGA-PBEsol) for crystalline LiSc2Au at its relaxed geometry.

abc: 4.7272 4.7272 4.7272
angles: 60.00 60.00 60.00
With the nearest neighbours (Å) after each atom.
Atoms (fractional coordinates):
Sc  0.2500  0.2500  0.2500  4 Li 2.89, 4 Au 2.89
Sc  0.7500  0.7500  0.7500  4 Au 2.89, 4 Li 2.89
Au  0.0000  0.0000  0.0000  8 Sc 2.89
Li  0.5000  0.5000  0.5000  8 Sc 2.89

Properties
Size of the total moment ... 0.000 Bohr magnetons per cell

The calculated energies rank the structures as follows, beginning with the most stable: version two, version one.

Version one
Density functional theory data (GGA-PBEsol) for crystalline SrLiAu2 at its relaxed geometry.

abc: 3.7784 3.6237 6.4247
angles: 90.00 90.00 90.00
With the nearest neighbours (Å) after each atom.
Atoms (fractional coordinates):
Au  0.0000  0.0000  0.0287  1 Li 2.47
Au  0.5000  0.5000  0.2795  4 Li 2.75, 4 Au 3.07
Li  0.0000  0.0000  0.4126  5 Au 2.47-2.75
Sr  0.5000  0.5000  0.7792  6 Au 3.07-3.21

Properties
Size of the total moment ... 0.000 Bohr magnetons per cell

Version two
Density functional theory data (GGA-PBEsol) for crystalline SrLiAu2 at its relaxed geometry.

abc: 4.5039 4.5039 5.8015
angles: 67.16 67.16 60.00
With the nearest neighbours (Å) after each atom.
Atoms (fractional coordinates):
Sr  0.0000  0.0000  0.0000  8 Au 3.21-3.27
Au  0.2064  0.2064  0.3809  3 Li 2.67, 3 Au 2.88
Au  0.7936  0.7936  0.6191  3 Li 2.67, 3 Au 2.88
Li  0.5000  0.5000  0.5000  6 Au 2.67

Properties
Size of the total moment ... 0.000 Bohr magnetons per cell

The calculated energies rank the structures as follows, beginning with the most stable: version two, version one.

Version one
Density functional theory data (GGA-PBEsol) for crystalline SrLiAu2 at its relaxed geometry.

abc: 3.5337 3.5337 6.7375
angles: 90.00 90.00 90.00
With the nearest neighbours (Å) after each atom.
Atoms (fractional coordinates):
Sr  0.5000  0.5000  0.0000  8 Au 3.20, 2 Li 3.37, 4 Sr 3.53
Au  0.0000  0.0000  0.2965  1 Au 2.74, 4 Li 2.85
Au  0.0000  0.0000  0.7035  1 Au 2.74, 4 Li 2.85
Li  0.5000  0.5000  0.5000  8 Au 2.85

Properties
Size of the total moment ... 0.000 Bohr magnetons per cell

Version two
Density functional theory data (GGA-PBEsol) for crystalline SrLiAu2 at its relaxed geometry.

abc: 4.6192 5.0684 5.0684
angles: 65.43 62.89 62.89
With the nearest neighbours (Å) after each atom.
Atoms (fractional coordinates):
Sr  0.0000  0.5000  0.5000  8 Au 3.10-3.14
Au  0.2028  0.7972  0.7972  2 Li 2.73, 1 Au 2.91
Au  0.7972  0.2028  0.2028  2 Li 2.73, 1 Au 2.91
Li  0.5000  0.0000  0.0000  4 Au 2.73

Properties
Size of the total moment ... 0.000 Bohr magnetons per cell

The calculated energies rank the structures as follows, beginning with the most stable: version one, version two.